{"formula": "NaCuPt", "functional": "GGA-PBE", "state": "optimized geometry", "lattice_angstrom": [[1.100, -3.776, 1.754], [-0.227, -0.540, 4.267], [-3.029, -2.553, 1.689]], "species": ["Pt", "Cu", "Na"], "frac_coords": [[0.750, 0.750, 0.750], [0.250, 0.250, 0.250], [0.000, 0.000, 0.000]], "space_group": "No. 216", "relative_energy_mev_per_atom": 472, "m_tot_mub_per_fu": 0.00, "crystal_system": "cubic"}

---

{"formula": "TcSnOs2", "functional": "GGA-PBE", "state": "optimized geometry", "lattice_angstrom": [[0.194, -4.463, -0.306], [-2.513, -2.541, 2.698], [-3.472, -2.283, -1.668]], "species": ["Os", "Os", "Sn", "Tc"], "frac_coords": [[0.750, 0.750, 0.750], [0.000, 0.000, 0.000], [0.500, 0.500, 0.500], [0.250, 0.250, 0.250]], "space_group": "No. 216", "m_tot_mub_per_fu": 1.19, "crystal_system": "cubic", "energy_ev_per_cell": -34.7}

---

{"formula": "LiPmTl", "functional": "GGA-PBE", "state": "optimized geometry", "lattice_angstrom": [[0.000, 3.586, 3.586], [3.586, 0.000, 3.586], [3.586, 3.586, 0.000]], "species": ["Pm", "Li", "Tl"], "frac_coords": [[0.250, 0.250, 0.250], [0.500, 0.500, 0.500], [0.000, 0.000, 0.000]], "space_group": "No. 216", "relative_energy_mev_per_atom": 318, "m_tot_mub_per_fu": 0.02, "crystal_system": "cubic"}

---

{"formula": "Pr2NdP3", "functional": "GGA-PBE", "state": "optimized geometry", "lattice_angstrom": [[-0.869, 3.548, -2.055], [1.577, -3.287, -2.068], [-9.503, -3.397, -1.849]], "species": ["Pr", "Pr", "P", "P", "P", "Nd"], "frac_coords": [[0.333, 0.667, 0.833], [0.667, 0.333, 0.167], [0.667, 0.333, 0.665], [0.333, 0.667, 0.335], [0.000, 0.000, 0.000], [0.000, 0.000, 0.500]], "space_group": "No. 164", "m_tot_mub_per_fu": 0.00, "crystal_system": "trigonal", "energy_ev_per_cell": -39.7}

---

{"formula": "SiMo2As2", "functional": "GGA-PBE", "state": "optimized geometry", "lattice_angstrom": [[-2.297, 2.297, 4.166], [2.297, -2.297, 4.166], [2.297, 2.297, -4.166]], "species": ["Si", "As", "As", "Mo", "Mo"], "frac_coords": [[0.000, 0.000, 0.000], [0.640, 0.640, 0.000], [0.360, 0.360, 0.000], [0.250, 0.750, 0.500], [0.750, 0.250, 0.500]], "space_group": "No. 139", "relative_energy_mev_per_atom": 46, "m_tot_mub_per_fu": 0.05, "crystal_system": "tetragonal"}

---

{"formula": "NiTe2Cl6", "functional": "GGA-PBE", "state": "optimized geometry", "lattice_angstrom": [[-1.526, 0.847, 4.287], [0.217, -7.047, 0.790], [8.251, 2.645, 1.814]], "species": ["Cl", "Cl", "Cl", "Cl", "Cl", "Cl", "Te", "Te", "Ni"], "frac_coords": [[0.791, 0.619, 0.356], [0.209, 0.381, 0.644], [0.752, 0.678, 0.948], [0.248, 0.322, 0.052], [0.583, 0.002, 0.719], [0.417, 0.998, 0.281], [0.151, 0.276, 0.299], [0.849, 0.724, 0.701], [0.500, 0.500, 0.500]], "space_group": "No. 2", "m_tot_mub_per_fu": 0.00, "crystal_system": "triclinic", "energy_ev_per_cell": -27.4}